1.
Material: ErMgAgHg
Method: DFT, PBE-GGA
State: relaxed

Magnetization in μB/f.u.: 0.0
Total DFT energy (no corrections) in eV per atom: -2.70
Space-group type: No. 216

abc: 4.967 4.967 4.967
angles: 60.00 60.00 60.00
Fractional coordinates of all 4 atoms:
Er (0.000, 0.000, 0.000)
Mg (0.500, 0.500, 0.500)
Ag (0.250, 0.250, 0.250)
Hg (0.750, 0.750, 0.750)

2.
Material: AcTmSn
Method: DFT, PBE-GGA
State: relaxed

Magnetization in μB/f.u.: 0.0
Space-group type: No. 216
E above lowest polymorph in meV/atom: 0

abc: 5.363 5.363 5.363
angles: 60.00 60.00 60.00
Fractional coordinates of all 3 atoms:
Ac (0.000, 0.000, 0.000)
Tm (0.500, 0.500, 0.500)
Sn (0.250, 0.250, 0.250)

3.
Material: NaSmIn2I6
Method: DFT, PBE-GGA
State: relaxed

Magnetization in μB/f.u.: 0.0
Total DFT energy (no corrections) in eV per atom: -2.97
Space-group type: No. 225

abc: 8.641 8.641 8.641
angles: 60.00 60.00 60.00
Fractional coordinates of all 10 atoms:
Na (0.000, 0.000, 0.000)
Sm (0.500, 0.500, 0.500)
In (0.250, 0.250, 0.250)
In (0.750, 0.750, 0.750)
I (0.250, 0.250, 0.750)
I (0.250, 0.750, 0.250)
I (0.250, 0.750, 0.750)
I (0.750, 0.250, 0.250)
I (0.750, 0.250, 0.750)
I (0.750, 0.750, 0.250)

4.
Material: Lu2CdSi
Method: DFT, PBE-GGA
State: relaxed

Magnetization in μB/f.u.: 0.0
Total DFT energy (no corrections) in eV per atom: -3.66
Space-group type: No. 216

abc: 5.063 5.063 5.063
angles: 60.00 60.00 60.00
Fractional coordinates of all 4 atoms:
Lu (0.000, 0.000, 0.000)
Lu (0.250, 0.250, 0.250)
Cd (0.750, 0.750, 0.750)
Si (0.500, 0.500, 0.500)

5.
Material: RbNiGeS3
Method: DFT, PBE-GGA
State: relaxed

Magnetization in μB/f.u.: 0.0
Total DFT energy (no corrections) in eV per atom: -4.44
Space-group type: No. 11

abc: 7.966 3.403 10.708
angles: 90.00 106.52 90.00
Fractional coordinates of all 12 atoms:
Rb (0.035, 0.250, 0.247)
Rb (0.965, 0.750, 0.753)
Ni (0.472, 0.750, 0.871)
Ni (0.528, 0.250, 0.129)
Ge (0.405, 0.250, 0.558)
Ge (0.595, 0.750, 0.442)
S (0.198, 0.750, 0.540)
S (0.321, 0.250, 0.922)
S (0.419, 0.750, 0.225)
S (0.581, 0.250, 0.775)
S (0.679, 0.750, 0.078)
S (0.802, 0.250, 0.460)

6.
Material: LiNbTe2AuS
Method: DFT, PBE-GGA
State: relaxed

Magnetization in μB/f.u.: 0.9
Total DFT energy (no corrections) in eV per atom: -4.62
Space-group type: No. 63

abc: 7.451 7.451 9.914
angles: 90.00 90.00 150.86
Fractional coordinates of all 12 atoms:
Li (0.248, 0.752, 0.750)
Li (0.752, 0.248, 0.250)
Nb (0.500, 0.500, 0.000)
Nb (0.500, 0.500, 0.500)
Te (0.151, 0.849, 0.034)
Te (0.151, 0.849, 0.466)
Te (0.849, 0.151, 0.534)
Te (0.849, 0.151, 0.966)
Au (0.037, 0.963, 0.250)
Au (0.963, 0.037, 0.750)
S (0.423, 0.577, 0.250)
S (0.577, 0.423, 0.750)